[1]
This record from Alexandria describes a geometry-optimized Ce2CrAs4Pt3 structure. The functional is PBE.

The calculated formation energy comes out at -0.77 eV per atom. Its spin magnetization is 0.55 μB per atom.

It has space group P-4m2 (No. 115), with a = 4.423 Å, b = 4.423 Å, c = 10.048 Å, α = 90.00°, β = 90.00° and γ = 90.00°. The asymmetric unit holds Ce at (0.000, 0.500, 0.244), Cr at (0.000, 0.000, 0.500), As at (0.000, 0.000, 0.000), As at (0.000, 0.500, 0.631), As at (0.500, 0.500, 0.000), Pt at (0.000, 0.500, 0.877) and Pt at (0.500, 0.500, 0.500).

=====

[2]
This record from Alexandria describes a geometry-optimized Cs2CeIn2As4 structure. The functional is PBE.

The calculated formation energy comes out at -0.63 eV per atom. Its spin magnetization is 0.01 μB per atom.

It has space group C2/m (No. 12), with a = 16.280 Å, b = 4.397 Å, c = 8.721 Å, α = 90.00°, β = 106.87° and γ = 90.00°. The asymmetric unit holds Cs at (0.129, 0.000, 0.055), Ce at (0.000, 0.000, 0.500), In at (0.166, 0.500, 0.470), As at (0.008, 0.500, 0.278) and As at (0.198, 0.000, 0.667).

=====

[3]
This record from Alexandria describes a geometry-optimized CsCeAsO5 structure. The functional is PBE.

For the raw formation energy, the calculation gives -1705 kJ/mol of formula units. Its spin magnetization is 0.00 μB per atom.

It has space group C2/c (No. 15), with a = 7.730 Å, b = 10.369 Å, c = 8.174 Å, α = 90.00°, β = 115.18° and γ = 90.00°. The asymmetric unit holds Cs at (0.000, 0.165, 0.250), Ce at (0.000, 0.500, 0.000), As at (0.000, 0.192, 0.750), O at (0.000, 0.449, 0.250), O at (0.074, 0.290, 0.619) and O at (0.187, 0.093, 0.885).

=====

[4]
This record from Alexandria describes a geometry-optimized Cs3Ce2PaAs6 structure. The functional is PBE.

The calculated formation energy comes out at -0.74 eV per atom. Its spin magnetization is 0.00 μB per atom.

It has space group C2/m (No. 12), with a = 7.646 Å, b = 13.241 Å, c = 8.661 Å, α = 90.00°, β = 107.10° and γ = 90.00°. The asymmetric unit holds Cs at (0.000, 0.000, 0.000), Cs at (0.000, 0.332, 0.000), Ce at (0.000, 0.166, 0.500), Pa at (0.000, 0.500, 0.500), As at (0.219, 0.337, 0.668) and As at (0.231, 0.000, 0.669).

=====

[5]
This record from Alexandria describes a geometry-optimized CsCeAs2Pt4 structure. The functional is PBE.

The calculated formation energy comes out at -0.61 eV per atom. Its spin magnetization is 0.07 μB per atom.

It has space group P4/mmm (No. 123), with a = 4.061 Å, b = 4.061 Å, c = 11.887 Å, α = 90.00°, β = 90.00° and γ = 90.00°. The asymmetric unit holds Cs at (0.000, 0.000, 0.000), Ce at (0.000, 0.000, 0.500), As at (0.500, 0.500, 0.197) and Pt at (0.000, 0.500, 0.319).

=====

[6]
This record from Alexandria describes a geometry-optimized CsCeAs2Pt2 structure. The functional is PBE.

The calculated formation energy comes out at -0.87 eV per atom. Its spin magnetization is 0.00 μB per atom.

It has space group P-3m1 (No. 164), with a = 4.2908 Å, b = 4.2908 Å, c = 9.9000 Å, α = 90.00°, β = 90.00° and γ = 120.00°. The asymmetric unit holds Cs at (0.0000, 0.0000, 0.0000), Ce at (0.0000, 0.0000, 0.5000), As at (0.3333, 0.6667, 0.7151) and Pt at (0.3333, 0.6667, 0.3192).

=====

[7]
This record from Alexandria describes a geometry-optimized CeCu3As3 structure. The functional is PBE.

The energy above the most stable polymorph in this dataset comes out at 0.180 eV per atom. The calculated formation energy comes out at -0.18 eV per atom. Its spin magnetization is 0.16 μB per atom.

It has space group Pm-3n (No. 223), with a = 6.600 Å, b = 6.600 Å, c = 6.600 Å, α = 90.00°, β = 90.00° and γ = 90.00°. The asymmetric unit holds Ce at (0.000, 0.000, 0.000), Cu at (0.000, 0.250, 0.500) and As at (0.000, 0.500, 0.250).

=====

[8]
This record from Alexandria describes a geometry-optimized Ce4Cu5As7 structure. The functional is PBE.

The calculated formation energy comes out at -0.74 eV per atom. Its spin magnetization is 0.11 μB per atom.

It has space group I-42m (No. 121), with a = 5.660 Å, b = 5.660 Å, c = 19.444 Å, α = 90.00°, β = 90.00° and γ = 90.00°. The asymmetric unit holds Ce at (0.245, 0.245, 0.383), Cu at (0.000, 0.000, 0.000), Cu at (0.000, 0.000, 0.251), Cu at (0.000, 0.500, 0.250), As at (0.000, 0.000, 0.500), As at (0.000, 0.500, 0.000) and As at (0.247, 0.247, 0.171).

=====

[9]
This record from Alexandria describes a geometry-optimized CeCu3As3 structure. The functional is PBE.

The energy above the most stable polymorph in this dataset comes out at 0.000 eV per atom. The calculated formation energy comes out at -0.36 eV per atom. Its spin magnetization is 0.00 μB per atom.

It has space group R-3 (No. 148, hexagonal axes), with a = 6.9278 Å, b = 6.9278 Å, c = 20.2982 Å, α = 90.00°, β = 90.00° and γ = 120.00°. The asymmetric unit holds Ce at (0.0000, 0.0000, 0.1675), Cu at (0.0027, 0.3407, 0.3737) and As at (0.0029, 0.3257, 0.5866).

=====

[10]
This record from Alexandria describes a geometry-optimized Ce2CuAs4 structure. The functional is PBE.

The calculated formation energy comes out at -0.91 eV per atom. Its spin magnetization is 0.05 μB per atom.

It has space group P-4m2 (No. 115), with a = 4.032 Å, b = 4.032 Å, c = 9.256 Å, α = 90.00°, β = 90.00° and γ = 90.00°. The asymmetric unit holds Ce at (0.000, 0.500, 0.246), Cu at (0.500, 0.500, 0.000), As at (0.000, 0.000, 0.500), As at (0.000, 0.500, 0.852) and As at (0.500, 0.500, 0.500).

=====

[11]
This record from Alexandria describes a geometry-optimized CeCu4As2 structure. The functional is PBE.

The calculated formation energy comes out at -0.41 eV per atom. Its spin magnetization is 0.10 μB per atom.

It has space group P4_2/mnm (No. 136), with a = 7.501 Å, b = 7.501 Å, c = 4.009 Å, α = 90.00°, β = 90.00° and γ = 90.00°. The asymmetric unit holds Ce at (0.000, 0.000, 0.000), Cu at (0.086, 0.348, 0.500) and As at (0.215, 0.785, 0.500).

=====

[12]
This record from Alexandria describes a geometry-optimized CeCuAs3 structure. The functional is PBE.

The calculated formation energy comes out at -0.53 eV per atom. Its spin magnetization is 0.10 μB per atom.

It has space group Pbcm (No. 57), with a = 12.116 Å, b = 5.713 Å, c = 5.753 Å, α = 90.00°, β = 90.00° and γ = 90.00°. The asymmetric unit holds Ce at (0.190, 0.004, 0.250), Cu at (0.402, 0.750, 0.000), As at (0.001, 0.750, 0.000), As at (0.270, 0.503, 0.250) and As at (0.431, 0.183, 0.250).